This record from Alexandria via LeMat-Bulk describes a geometry-optimized Rb3Ag2Br2Cl4 structure. The functional is PBE-GGA.

abc: 14.3968 14.3968 14.3968
angles: 159.69 159.69 28.87
With the nearest neighbours (Å) after each atom.
Positions (direct):
Rb  0.0000  0.0000  0.0000  8 Cl 3.38
Rb  0.1787  0.1787  0.0000  5 Br 3.50-3.62, 4 Cl 3.74
Rb  0.8213  0.8213  0.0000  5 Br 3.50-3.62, 4 Cl 3.74
Ag  0.4042  0.4042  0.0000  4 Cl 2.58, 1 Br 2.79
Ag  0.5958  0.5958  0.0000  4 Cl 2.58, 1 Br 2.79
Br  0.3042  0.3042  0.0000  1 Ag 2.79
Br  0.6958  0.6958  0.0000  1 Ag 2.79
Cl  0.0800  0.5800  0.5000  2 Ag 2.58
Cl  0.4200  0.9200  0.5000  2 Ag 2.58
Cl  0.5800  0.0800  0.5000  2 Ag 2.58
Cl  0.9200  0.4200  0.5000  2 Ag 2.58

Output
Fermi-level density of states in states/eV/f.u.: 5.00
Raw formation energy in eV/atom: -1.219

=====

This record from Alexandria via LeMat-Bulk describes a geometry-optimized AcInSn2Pd structure. The functional is PBE-GGA.

abc: 6.6128 6.6128 6.6128
angles: 137.40 136.34 62.64
With the nearest neighbours (Å) after each atom.
Positions (direct):
Ac  0.0000  0.0000  0.0000  8 Sn 3.56-3.78, 4 In 3.71-3.74, 5 Pd 3.84-3.95
In  0.2508  0.7508  0.5000  2 Pd 2.71
Sn  0.4191  0.4191  0.0000  1 Pd 2.61
Sn  0.7546  0.2546  0.5000  2 Pd 2.67
Pd  0.6505  0.6505  0.0000  3 Sn 2.61-2.67, 2 In 2.71

Output
Fermi-level density of states in states/eV/f.u.: 2.41
DFT formation energy in eV per atom: -0.62

=====

This record from Alexandria via LeMat-Bulk describes a geometry-optimized ReAgSe2O structure. The functional is PBE-GGA.

abc: 5.0510 5.0510 3.6881
angles: 90.00 90.00 90.00
With the nearest neighbours (Å) after each atom.
Positions (direct):
Re  0.0000  0.0000  0.0000  2 O 1.84
Ag  0.5000  0.5000  0.0000  8 Se 3.13
Se  0.0000  0.5000  0.5000  2 O 2.53
Se  0.5000  0.0000  0.5000  2 O 2.53
O  0.0000  0.0000  0.5000  2 Re 1.84

Output
Fermi-level density of states in states/eV/f.u.: 5.43
Raw formation energy in eV/atom: 0.607

=====

This record from Alexandria via LeMat-Bulk describes a geometry-optimized Be3Ni2Ir structure. The functional is PBE-GGA.

abc: 6.0364 6.0364 5.3358
angles: 90.00 90.00 143.15
With the nearest neighbours (Å) after each atom.
Positions (direct):
Be  0.0000  0.0000  0.2435  6 Ni 2.29-2.35, 2 Ir 2.30
Be  0.0000  0.0000  0.7565  6 Ni 2.29-2.35, 2 Ir 2.30
Be  0.3337  0.6663  0.2429  5 Ni 2.30-2.35, 3 Ir 2.35-2.40
Be  0.3337  0.6663  0.7571  5 Ni 2.30-2.35, 3 Ir 2.35-2.40
Be  0.6663  0.3337  0.2429  5 Ni 2.30-2.35, 3 Ir 2.35-2.40
Be  0.6663  0.3337  0.7571  5 Ni 2.30-2.35, 3 Ir 2.35-2.40
Ni  0.1644  0.8356  0.0000  8 Be 2.29-2.33
Ni  0.5000  0.5000  0.0000  8 Be 2.30-2.31
Ni  0.5000  0.5000  0.5000  8 Be 2.35
Ni  0.8356  0.1644  0.0000  8 Be 2.29-2.33
Ir  0.1619  0.8381  0.5000  8 Be 2.30-2.40
Ir  0.8381  0.1619  0.5000  8 Be 2.30-2.40

Output
Fermi-level density of states in states/eV/f.u.: 1.64
DFT formation energy in eV per atom: -0.53

=====

This record from Alexandria via LeMat-Bulk describes a geometry-optimized CrSiI3 structure. The functional is PBE-GGA.

abc: 5.6298 5.6298 5.6298
angles: 90.00 90.00 90.00
With the nearest neighbours (Å) after each atom.
Positions (direct):
Cr  0.0000  0.0000  0.0000  12 I 3.98
Si  0.5000  0.5000  0.5000  6 I 2.81
I  0.0000  0.5000  0.5000  2 Si 2.81
I  0.5000  0.0000  0.5000  2 Si 2.81
I  0.5000  0.5000  0.0000  2 Si 2.81

Output
Energy above the lowest structure with this stoichiometry in eV per atom: 0.008
Fermi-level density of states in states/eV/f.u.: 0.74
Raw formation energy in eV/atom: 0.462

=====

This record from Alexandria via LeMat-Bulk describes a geometry-optimized KRe structure. The functional is PBE-GGA.

abc: 2.9678 2.9678 12.0711
angles: 90.00 90.00 120.00
With the nearest neighbours (Å) after each atom.
Positions (direct):
K  0.3333  0.6667  0.1690  6 K 2.97
K  0.6667  0.3333  0.8310  6 K 2.97
Re  0.3333  0.6667  0.5810  3 Re 2.60
Re  0.6667  0.3333  0.4190  3 Re 2.60

Output
Energy above the lowest structure with this stoichiometry in eV per atom: 0.281
Fermi-level density of states in states/eV/f.u.: 1.23
DFT formation energy in eV per atom: 1.11

=====

This record from Alexandria via LeMat-Bulk describes a geometry-optimized TlGeSeCl structure. The functional is PBE-GGA.

abc: 4.0298 4.0298 8.0855
angles: 90.00 90.00 120.00
With the nearest neighbours (Å) after each atom.
Positions (direct):
Tl  0.0000  0.0000  0.0000  3 Cl 3.07
Ge  0.0000  0.0000  0.5092  3 Se 2.70
Se  0.3333  0.6667  0.6778  3 Ge 2.70
Cl  0.6667  0.3333  0.2469  3 Tl 3.07, 3 Ge 3.15

Output
Raw formation energy in eV/atom: -0.537

=====

This record from Alexandria via LeMat-Bulk describes a geometry-optimized Li2PaPtO6 structure. The functional is PBE-GGA.

abc: 5.8777 5.8777 5.8777
angles: 53.00 53.00 53.00
With the nearest neighbours (Å) after each atom.
Positions (direct):
Li  0.2047  0.2047  0.2047  3 O 2.01
Li  0.7953  0.7953  0.7953  3 O 2.01
Pa  0.0000  0.0000  0.0000  6 O 2.18
Pt  0.5000  0.5000  0.5000  6 O 2.00
O  0.1292  0.7549  0.3913  1 Pt 2.00, 1 Li 2.01, 1 Pa 2.18
O  0.2451  0.6086  0.8708  1 Pt 2.00, 1 Li 2.01, 1 Pa 2.18
O  0.3913  0.1292  0.7549  1 Pt 2.00, 1 Li 2.01, 1 Pa 2.18
O  0.6086  0.8708  0.2451  1 Pt 2.00, 1 Li 2.01, 1 Pa 2.18
O  0.7549  0.3914  0.1292  1 Pt 2.00, 1 Li 2.01, 1 Pa 2.18
O  0.8708  0.2451  0.6086  1 Pt 2.00, 1 Li 2.01, 1 Pa 2.18

Output
Fermi-level density of states in states/eV/f.u.: 8.08
Raw formation energy in eV/atom: -2.000

=====

This record from Alexandria via LeMat-Bulk describes a geometry-optimized Cs2YSnBr6 structure. The functional is PBE-GGA.

abc: 7.9012 11.4831 9.4083
angles: 90.00 90.00 90.00
With the nearest neighbours (Å) after each atom.
Positions (direct):
Cs  0.2500  0.0075  0.2078  9 Br 3.89-4.10
Cs  0.2500  0.4925  0.2078  9 Br 3.89-4.10
Cs  0.7500  0.5075  0.7922  9 Br 3.89-4.10
Cs  0.7500  0.9925  0.7922  9 Br 3.89-4.10
Y  0.2500  0.7500  0.7702  6 Br 2.78-2.83
Y  0.7500  0.2500  0.2298  6 Br 2.78-2.83
Sn  0.2500  0.2500  0.7218  2 Br 2.97
Sn  0.7500  0.7500  0.2782  2 Br 2.97
Br  0.0037  0.7500  0.9880  1 Y 2.83
Br  0.0066  0.2500  0.4319  1 Y 2.78
Br  0.2500  0.5039  0.7841  1 Y 2.83, 1 Sn 2.97
Br  0.2500  0.9961  0.7841  1 Y 2.83, 1 Sn 2.97
Br  0.4934  0.2500  0.4319  1 Y 2.78
Br  0.4963  0.7500  0.9880  1 Y 2.83
Br  0.5037  0.2500  0.0120  1 Y 2.83
Br  0.5066  0.7500  0.5681  1 Y 2.78
Br  0.7500  0.0039  0.2159  1 Y 2.83, 1 Sn 2.97
Br  0.7500  0.4961  0.2159  1 Y 2.83, 1 Sn 2.97
Br  0.9934  0.7500  0.5681  1 Y 2.78
Br  0.9963  0.2500  0.0120  1 Y 2.83

Output
Energy above the lowest structure with this stoichiometry in eV per atom: 0.006
Fermi-level density of states in states/eV/f.u.: 0.74
Raw formation energy in eV/atom: -1.464

=====

This record from Alexandria via LeMat-Bulk describes a geometry-optimized LaSm3Y2As6 structure. The functional is PBE-GGA.

abc: 7.2973 7.2973 7.2998
angles: 99.59 99.59 119.99
With the nearest neighbours (Å) after each atom.
Positions (direct):
La  0.0000  0.0000  0.0000  6 As 3.01-3.02
Sm  0.1653  0.8347  0.5000  6 As 2.95-3.00
Sm  0.5000  0.5000  0.5000  6 As 2.95-3.00
Sm  0.8347  0.1653  0.5000  6 As 2.95-3.00
Y  0.3329  0.6671  0.0000  6 As 2.95-2.96
Y  0.6671  0.3329  0.0000  6 As 2.95-2.96
As  0.0832  0.4232  0.2494  3 Sm 2.95-3.00, 2 Y 2.95-2.96, 1 La 3.02
As  0.2573  0.2573  0.7518  3 Sm 2.95-3.00, 2 Y 2.96, 1 La 3.01
As  0.4232  0.0832  0.2494  3 Sm 2.95-3.00, 2 Y 2.95-2.96, 1 La 3.02
As  0.5768  0.9168  0.7506  3 Sm 2.95-3.00, 2 Y 2.95-2.96, 1 La 3.02
As  0.7427  0.7427  0.2482  3 Sm 2.95-3.00, 2 Y 2.96, 1 La 3.01
As  0.9168  0.5768  0.7506  3 Sm 2.95-3.00, 2 Y 2.95-2.96, 1 La 3.02

Output
Fermi-level density of states in states/eV/f.u.: 1.54
DFT formation energy in eV per atom: -1.54

=====

This record from Alexandria via LeMat-Bulk describes a geometry-optimized AcTbMgZn structure. The functional is PBE-GGA.

abc: 5.4532 5.4532 5.4532
angles: 60.00 60.00 60.00
With the nearest neighbours (Å) after each atom.
Positions (direct):
Ac  0.0000  0.0000  0.0000  4 Zn 3.34, 4 Mg 3.34
Tb  0.5000  0.5000  0.5000  4 Mg 3.34, 4 Zn 3.34
Mg  0.2500  0.2500  0.2500  4 Tb 3.34, 4 Ac 3.34
Zn  0.7500  0.7500  0.7500  4 Tb 3.34, 4 Ac 3.34

Output
Energy above the lowest structure with this stoichiometry in eV per atom: 0.054
Fermi-level density of states in states/eV/f.u.: 4.30
DFT formation energy in eV per atom: -0.12

=====

This record from Alexandria via LeMat-Bulk describes a geometry-optimized LiBiTeN2 structure. The functional is PBE-GGA.

abc: 4.4709 4.4709 6.2043
angles: 90.00 90.00 90.00
With the nearest neighbours (Å) after each atom.
Positions (direct):
Li  0.0000  0.0000  0.0000  4 Te 3.16
Bi  0.5000  0.5000  0.5000  4 N 2.24
Te  0.5000  0.5000  0.0000  2 Bi 3.10, 4 Li 3.16
N  0.0000  0.5000  0.5000  2 Bi 2.24
N  0.5000  0.0000  0.5000  2 Bi 2.24

Output
Energy above the lowest structure with this stoichiometry in eV per atom: 0.000
Fermi-level density of states in states/eV/f.u.: 3.62
Raw formation energy in eV/atom: 1.202

=====

This record from Alexandria via LeMat-Bulk describes a geometry-optimized PmHo2Ag structure. The functional is PBE-GGA.

abc: 10.6920 10.6920 10.6920
angles: 19.22 19.22 19.22
With the nearest neighbours (Å) after each atom.
Positions (direct):
Pm  0.0000  0.0000  0.0000  6 Pm 3.57, 6 Ho 3.58
Ho  0.2403  0.2403  0.2403  3 Ag 3.10
Ho  0.7597  0.7597  0.7597  3 Ag 3.10
Ag  0.5000  0.5000  0.5000  6 Ho 3.10

Output
Energy above the lowest structure with this stoichiometry in eV per atom: 0.118
Fermi-level density of states in states/eV/f.u.: 4.99
DFT formation energy in eV per atom: -0.02

=====

This record from Alexandria via LeMat-Bulk describes a geometry-optimized Ni4Pb structure. The functional is PBE-GGA.

abc: 6.2778 6.2778 6.2778
angles: 147.24 147.24 47.01
With the nearest neighbours (Å) after each atom.
Positions (direct):
Ni  0.1080  0.1080  0.0000  5 Ni 2.41-2.49
Ni  0.2500  0.7500  0.5000  8 Ni 2.41-2.50
Ni  0.7500  0.2500  0.5000  8 Ni 2.41-2.50
Ni  0.8920  0.8920  0.0000  5 Ni 2.41-2.49
Pb  0.5000  0.5000  0.0000  8 Ni 2.80

Output
Energy above the lowest structure with this stoichiometry in eV per atom: 0.000
Fermi-level density of states in states/eV/f.u.: 10.07
DFT formation energy in eV per atom: 0.32

=====

This record from Alexandria via LeMat-Bulk describes a geometry-optimized Tb3Th5Sb8 structure. The functional is PBE-GGA.

abc: 8.9267 8.9267 8.9267
angles: 60.15 60.15 60.15
With the nearest neighbours (Å) after each atom.
Positions (direct):
Tb  0.0000  0.5000  0.5000  6 Sb 3.13
Tb  0.5000  0.0000  0.5000  6 Sb 3.13
Tb  0.5000  0.5000  0.0000  6 Sb 3.13
Th  0.0000  0.0000  0.0000  6 Sb 3.16
Th  0.0000  0.0000  0.5000  6 Sb 3.19
Th  0.0000  0.5000  0.0000  6 Sb 3.19
Th  0.5000  0.0000  0.0000  6 Sb 3.19
Th  0.5000  0.5000  0.5000  6 Sb 3.16
Sb  0.2500  0.2500  0.7445  2 Tb 3.13, 4 Th 3.16-3.19
Sb  0.2500  0.7445  0.2500  2 Tb 3.13, 4 Th 3.16-3.19
Sb  0.2525  0.2525  0.2525  3 Tb 3.13, 3 Th 3.19
Sb  0.2555  0.7500  0.7500  2 Tb 3.13, 4 Th 3.16-3.19
Sb  0.7445  0.2500  0.2500  2 Tb 3.13, 4 Th 3.16-3.19
Sb  0.7475  0.7475  0.7475  3 Tb 3.13, 3 Th 3.19
Sb  0.7500  0.2555  0.7500  2 Tb 3.13, 4 Th 3.16-3.19
Sb  0.7500  0.7500  0.2555  2 Tb 3.13, 4 Th 3.16-3.19

Output
Fermi-level density of states in states/eV/f.u.: 8.90
Raw formation energy in eV/atom: -0.999

=====

This record from Alexandria via LeMat-Bulk describes a geometry-optimized HfMg2Cd structure. The functional is PBE-GGA.

abc: 3.1669 3.1669 8.5660
angles: 90.00 90.00 90.00
With the nearest neighbours (Å) after each atom.
Positions (direct):
Hf  0.0000  0.0000  0.0000  8 Mg 3.14, 4 Hf 3.17
Mg  0.5000  0.5000  0.2564  4 Cd 3.06, 4 Hf 3.14, 4 Mg 3.17
Mg  0.5000  0.5000  0.7436  4 Cd 3.06, 4 Hf 3.14, 4 Mg 3.17
Cd  0.0000  0.0000  0.5000  8 Mg 3.06, 4 Cd 3.17

Output
Fermi-level density of states in states/eV/f.u.: 2.84
DFT formation energy in eV per atom: 0.00

=====

This record from Alexandria via LeMat-Bulk describes a geometry-optimized CaCd4Ag2 structure. The functional is PBE-GGA.

abc: 5.9401 5.9401 5.6445
angles: 118.08 118.08 76.58
With the nearest neighbours (Å) after each atom.
Positions (direct):
Ca  0.0000  0.0000  0.0000  12 Cd 3.19-3.50
Cd  0.0017  0.6086  0.3044  4 Cd 2.89-3.05, 4 Ag 3.01-3.05, 1 Ca 3.19
Cd  0.3914  0.9983  0.6956  4 Cd 2.89-3.05, 4 Ag 3.01-3.05, 1 Ca 3.19
Cd  0.6086  0.0017  0.3044  4 Cd 2.89-3.05, 4 Ag 3.01-3.05, 1 Ca 3.19
Cd  0.9983  0.3914  0.6956  4 Cd 2.89-3.05, 4 Ag 3.01-3.05, 1 Ca 3.19
Ag  0.4999  0.4999  0.2488  2 Ag 2.81-2.83, 8 Cd 3.01-3.05
Ag  0.5001  0.5001  0.7512  2 Ag 2.81-2.83, 8 Cd 3.01-3.05

Output
Energy above the lowest structure with this stoichiometry in eV per atom: 0.000
Fermi-level density of states in states/eV/f.u.: 2.36
DFT formation energy in eV per atom: -0.18

=====

This record from Alexandria via LeMat-Bulk describes a geometry-optimized CsAgCl structure. The functional is PBE-GGA.

abc: 4.0794 4.0794 12.0493
angles: 95.53 95.53 89.69
With the nearest neighbours (Å) after each atom.
Positions (direct):
Cs  0.0000  0.0000  0.0000  7 Cl 3.38-3.77
Cs  0.1061  0.1061  0.3568  4 Cl 3.41-3.42
Ag  0.1711  0.6756  0.6402  4 Ag 2.85-2.90, 1 Cl 2.91
Ag  0.6756  0.1711  0.6402  4 Ag 2.85-2.90, 1 Cl 2.91
Cl  0.4579  0.4579  0.8511  2 Ag 2.91
Cl  0.5629  0.5629  0.2035  8 Cs 3.41-3.80

Output
Energy above the lowest structure with this stoichiometry in eV per atom: 0.012
Fermi-level density of states in states/eV/f.u.: 0.48
Raw formation energy in eV/atom: -0.948

=====

This record from Alexandria via LeMat-Bulk describes a geometry-optimized LaInW2 structure. The functional is PBE-GGA.

abc: 4.5533 4.5533 7.0819
angles: 96.63 96.63 40.17
With the nearest neighbours (Å) after each atom.
Positions (direct):
La  0.0000  0.0000  0.0000  5 W 3.10-3.46, 2 La 3.13, 3 In 3.31-3.42
In  0.7604  0.7604  0.3332  5 W 2.89-3.07, 2 In 3.13
W  0.2367  0.2367  0.7017  3 W 2.60-2.61
W  0.5052  0.5052  0.5656  3 W 2.60-2.61, 1 In 2.89

Output
Fermi-level density of states in states/eV/f.u.: 2.69
DFT formation energy in eV per atom: 0.49

=====

This record from Alexandria via LeMat-Bulk describes a geometry-optimized CaAlRh structure. The functional is PBE-GGA.

abc: 4.2032 4.2032 4.2857
angles: 90.00 90.00 120.00
With the nearest neighbours (Å) after each atom.
Positions (direct):
Ca  0.0000  0.0000  0.0000  6 Rh 3.24, 6 Al 3.24
Al  0.3333  0.6667  0.5000  3 Rh 2.43
Rh  0.6667  0.3333  0.5000  3 Al 2.43

Output
Fermi-level density of states in states/eV/f.u.: 1.04
DFT formation energy in eV per atom: -0.56